DFT (PBE-GGA) results for a geometry-optimized LiPb3C structure.

Total moment = 0.23 μB per atom
Density of states at the Fermi level = 2.28 states/eV/f.u.
Formation enthalpy at 0 K = 1373 meV/atom
Offset from the most stable computed form = 12.328 kcal/mol of atoms

a = 5.0705 Å, b = 5.0705 Å, c = 5.0705 Å
α = 90.00°, β = 90.00°, γ = 90.00°
Last column: magnetic moment on the atom in μB.
Fractional coordinates of all 5 atoms:
1 Pb 0.0000 0.5000 0.0000  -0.04
2 Pb 0.0000 0.0000 0.5000  -0.04
3 Pb 0.5000 0.0000 0.0000  -0.05
4 C 0.5000 0.5000 0.5000  0.69
5 Li 0.0000 0.0000 0.0000  0.02